The following is a DFT calculation (PBE) of a geometry-optimized Ba2TlAsPd6 structure.

```
Ba2TlAsPd6
1.0
6.705 0.000 0.000
3.314 5.828 0.000
3.295 1.905 6.212
Ba Tl As Pd
2 1 1 6
Cartesian
3.324 1.930 2.026
9.989 5.803 4.186
6.657 3.867 3.106
0.000 0.000 0.000
5.241 3.040 5.286
6.628 5.462 5.313
5.282 4.695 0.905
8.032 3.038 5.307
6.686 2.271 0.899
8.072 4.693 0.926
```

- SG = P-1 (2)
- total magnetization (μB per formula unit) = 0.00
- E_form (eV per formula unit) = -5.3